RbSmZn2F8 | PBE | relaxed

CIF file:
```
data_RbSmZn2F8
_chemical_formula_sum 'Rb3 Sm3 Zn6 F24'
_cell_length_a 5.3920
_cell_length_b 5.3920
_cell_length_c 25.3625
_cell_angle_alpha 90.00
_cell_angle_beta 90.00
_cell_angle_gamma 120.00
_space_group_name_H-M_alt 'R 3 2'
_space_group_IT_number 155
_space_group_name_Hall 'R 3 2"'
loop_
_atom_site_label
_atom_site_type_symbol
_atom_site_fract_x
_atom_site_fract_y
_atom_site_fract_z
_atom_site_occupancy
Rb1 Rb 0.0000 0.0000 0.0000 1
Sm1 Sm 0.0000 0.0000 0.5000 1
Zn1 Zn 0.0000 0.0000 0.2563 1
F1 F 0.0000 0.0000 0.3295 1
F2 F 0.0008 0.3473 0.8893 1
```

Calculated values
For the raw formation energy, the calculation gives -2.90 eV/atom.